Record 1
{
  "formula": "SmTmIr",
  "functional": "PBE-GGA",
  "state": "relaxed",
  "formation_enthalpy_0k_ev_per_atom": -0.543,
  "energy_ev_per_cell": -19.68,
  "relative_energy_ev_per_atom": 0.175,
  "spacegroup": "I4mm",
  "lattice_angstrom": [[-0.0986, -1.8427, -2.9571], [-1.9472, -2.4241, 1.5755], [-4.2600, 5.2352, -1.0659]],
  "species": ["Ir", "Tm", "Sm"],
  "frac_coords": [[0.6617, 0.6617, 0.3234], [0.0414, 0.0414, 0.0828], [0.2969, 0.2969, 0.5938]]
}

Record 2
{
  "formula": "SmTm5Ir6",
  "functional": "PBE-GGA",
  "state": "relaxed",
  "formation_enthalpy_0k_ev_per_atom": -0.864,
  "energy_ev_per_cell": -90.61,
  "spacegroup": "Cmmm",
  "lattice_angstrom": [[4.4517, -0.0265, 1.4836], [0.0381, 7.1226, 0.0127], [-0.0038, -0.0132, 7.4323]],
  "species": ["Tm", "Tm", "Tm", "Tm", "Tm", "Sm", "Ir", "Ir", "Ir", "Ir", "Ir", "Ir"],
  "frac_coords": [[0.6670, 0.5000, 0.6660], [0.3322, 0.0000, 0.3356], [0.0000, 0.5000, 0.0000], [0.6678, 0.0000, 0.6644], [0.3330, 0.5000, 0.3340], [0.0000, 0.0000, 0.0000], [0.8314, 0.7470, 0.3371], [0.8314, 0.2530, 0.3371], [0.5000, 0.2567, 0.0000], [0.5000, 0.7433, 0.0000], [0.1686, 0.7470, 0.6629], [0.1686, 0.2530, 0.6629]]
}

Record 3
{
  "formula": "SmTm2Ir",
  "functional": "PBE-GGA",
  "state": "relaxed",
  "formation_enthalpy_0k_ev_per_atom": -0.401,
  "energy_ev_per_cell": -24.13,
  "relative_energy_ev_per_atom": 0.184,
  "spacegroup": "R3m",
  "lattice_angstrom": [[4.6080, 0.0000, 0.0000], [2.3040, 3.9907, 0.0000], [2.3040, 1.3302, 6.1620]],
  "species": ["Sm", "Tm", "Tm", "Ir"],
  "frac_coords": [[0.5000, 0.5000, 0.5000], [0.0516, 0.0516, 0.8453], [0.2821, 0.2821, 0.1538], [0.6664, 0.6664, 0.0008]]
}

Record 4
{
  "formula": "SmTm3Ir4",
  "functional": "PBE-GGA",
  "state": "relaxed",
  "formation_enthalpy_0k_ev_per_atom": -0.831,
  "energy_ev_per_cell": -120.45,
  "spacegroup": "P4/mmm",
  "lattice_angstrom": [[-3.0703, -3.6058, 1.2686], [1.9646, 0.5390, 6.2868], [-7.0672, 6.5956, 1.6430]],
  "species": ["Tm", "Tm", "Tm", "Tm", "Tm", "Tm", "Sm", "Sm", "Ir", "Ir", "Ir", "Ir", "Ir", "Ir", "Ir", "Ir"],
  "frac_coords": [[0.0000, 0.0000, 0.0000], [0.0000, 0.0000, 0.5000], [0.5002, 0.0000, 0.7500], [0.4998, 0.0000, 0.2500], [0.5002, 0.5000, 0.7500], [0.4998, 0.5000, 0.2500], [0.0000, 0.5000, 0.0000], [0.0000, 0.5000, 0.5000], [0.5000, 0.7555, 0.0000], [0.5000, 0.7555, 0.5000], [0.5000, 0.2445, 0.0000], [0.5000, 0.2445, 0.5000], [0.0003, 0.7555, 0.7500], [0.9997, 0.7555, 0.2500], [0.9997, 0.2445, 0.2500], [0.0003, 0.2445, 0.7500]]
}

Record 5
{
  "formula": "Sm2Tm3Ir2",
  "functional": "PBE-GGA",
  "state": "relaxed",
  "formation_enthalpy_0k_ev_per_atom": -0.633,
  "energy_ev_per_cell": -45.01,
  "spacegroup": "C2/m",
  "lattice_angstrom": [[-0.6138, 3.7324, -0.4089], [1.0795, -2.3942, -5.7748], [-7.7517, -3.0699, 1.3137]],
  "species": ["Sm", "Sm", "Tm", "Tm", "Tm", "Ir", "Ir"],
  "frac_coords": [[0.6399, 0.4747, 0.8051], [0.3601, 0.5253, 0.1949], [0.5000, 0.0000, 0.0000], [0.1893, 0.8099, 0.5687], [0.8107, 0.1901, 0.4313], [0.0678, 0.8959, 0.2396], [0.9322, 0.1041, 0.7604]]
}

Record 6
{
  "formula": "SmTmZnIr",
  "functional": "PBE-GGA",
  "state": "relaxed",
  "formation_enthalpy_0k_ev_per_atom": -0.599,
  "energy_ev_per_cell": -21.72,
  "spacegroup": "F-43m",
  "lattice_angstrom": [[4.9498, 0.0000, 0.0000], [2.4749, 4.2867, 0.0000], [2.4749, 1.4289, 4.0415]],
  "species": ["Zn", "Ir", "Tm", "Sm"],
  "frac_coords": [[0.5000, 0.5000, 0.5000], [0.0000, 0.0000, 0.0000], [0.2500, 0.2500, 0.2500], [0.7500, 0.7500, 0.7500]]
}

Please write out number 6 again, unchanged.
{
  "formula": "SmTmZnIr",
  "functional": "PBE-GGA",
  "state": "relaxed",
  "formation_enthalpy_0k_ev_per_atom": -0.599,
  "energy_ev_per_cell": -21.72,
  "spacegroup": "F-43m",
  "lattice_angstrom": [[4.9498, 0.0000, 0.0000], [2.4749, 4.2867, 0.0000], [2.4749, 1.4289, 4.0415]],
  "species": ["Zn", "Ir", "Tm", "Sm"],
  "frac_coords": [[0.5000, 0.5000, 0.5000], [0.0000, 0.0000, 0.0000], [0.2500, 0.2500, 0.2500], [0.7500, 0.7500, 0.7500]]
}